1.
Sr2HgP2: optimized geometry, PBE.

Cell: 8.915 8.915 3.466 Å, 90.00 90.00 90.00°
Positions (direct):
Sr 0.142 0.358 0.000
Sr 0.358 0.858 0.000
Sr 0.642 0.142 0.000
Sr 0.858 0.642 0.000
Hg 0.000 0.000 0.000
Hg 0.500 0.500 0.000
P 0.159 0.659 0.500
P 0.341 0.159 0.500
P 0.659 0.841 0.500
P 0.841 0.341 0.500

=====

2.
SrHgP: optimized geometry, PBE.

Cell: 5.855 5.855 5.855 Å, 143.82 138.71 56.04°
Positions (direct):
Sr 0.000 0.000 0.000
Hg 0.311 0.311 0.000
P 0.662 0.662 0.000

=====

3.
SrHg2P: optimized geometry, PBE.

Cell: 6.726 6.726 6.726 Å, 101.40 101.40 127.21°
Positions (direct):
Sr 0.000 0.000 0.000
Sr 0.750 0.250 0.500
Hg 0.189 0.125 0.564
Hg 0.375 0.811 0.936
Hg 0.561 0.625 0.436
Hg 0.875 0.439 0.064
P 0.250 0.750 0.500
P 0.500 0.500 0.000

=====

4.
Sr6Hg2P: optimized geometry, PBE.

Cell: 7.619 8.595 13.457 Å, 90.00 123.01 90.00°
Positions (direct):
Sr 0.109 0.039 0.246
Sr 0.109 0.461 0.746
Sr 0.222 0.693 0.063
Sr 0.222 0.807 0.563
Sr 0.383 0.178 0.061
Sr 0.383 0.322 0.561
Sr 0.617 0.678 0.439
Sr 0.617 0.822 0.939
Sr 0.778 0.193 0.437
Sr 0.778 0.307 0.937
Sr 0.891 0.539 0.254
Sr 0.891 0.961 0.754
Hg 0.301 0.107 0.753
Hg 0.301 0.393 0.253
Hg 0.699 0.607 0.747
Hg 0.699 0.893 0.247
P 0.000 0.000 0.000
P 0.000 0.500 0.500

=====

5.
Sr2Hg2P: optimized geometry, PBE.

Cell: 8.143 8.143 5.168 Å, 90.00 90.00 90.00°
Positions (direct):
Sr 0.181 0.319 0.000
Sr 0.319 0.819 0.000
Sr 0.681 0.181 0.000
Sr 0.819 0.681 0.000
Hg 0.133 0.633 0.500
Hg 0.367 0.133 0.500
Hg 0.633 0.867 0.500
Hg 0.867 0.367 0.500
P 0.000 0.000 0.000
P 0.500 0.500 0.000

=====

6.
SrHgP: optimized geometry, PBE.

Cell: 4.428 5.664 6.975 Å, 90.00 91.11 90.00°
Positions (direct):
Sr 0.000 0.000 0.000
Sr 0.006 0.500 0.435
Hg 0.371 0.000 0.545
Hg 0.582 0.500 0.819
P 0.503 0.300 0.191
P 0.503 0.700 0.191

=====

7.
Sr2HgP2: optimized geometry, PBE.

Cell: 6.187 6.187 6.187 Å, 125.47 125.47 80.76°
Positions (direct):
Sr 0.250 0.750 0.500
Sr 0.750 0.250 0.500
Hg 0.000 0.000 0.000
P 0.379 0.379 0.000
P 0.621 0.621 0.000

=====

8.
SrHgP: optimized geometry, PBE.

Cell: 4.378 5.499 7.395 Å, 77.83 78.61 70.05°
Positions (direct):
Sr 0.074 0.186 0.187
Sr 0.926 0.814 0.813
Hg 0.309 0.282 0.573
Hg 0.691 0.718 0.427
P 0.402 0.620 0.115
P 0.598 0.380 0.885

=====

9.
SrHg2P: optimized geometry, PBE.

Cell: 4.364 4.364 5.361 Å, 90.00 90.00 90.00°
Positions (direct):
Sr 0.000 0.000 0.000
Hg 0.000 0.500 0.500
Hg 0.500 0.000 0.500
P 0.500 0.500 0.000

=====

10.
SrHgP: optimized geometry, PBE.

Cell: 4.298 4.298 9.479 Å, 90.00 90.00 90.00°
Positions (direct):
Sr 0.250 0.250 0.167
Sr 0.750 0.750 0.833
Hg 0.250 0.250 0.572
Hg 0.750 0.750 0.428
P 0.250 0.250 0.839
P 0.750 0.750 0.161

=====

11.
SrHgP: optimized geometry, PBE.

Cell: 9.048 9.048 4.381 Å, 101.21 101.21 27.11°
Positions (direct):
Sr 0.093 0.093 0.263
Sr 0.907 0.907 0.737
Hg 0.283 0.283 0.254
Hg 0.717 0.717 0.746
P 0.452 0.452 0.295
P 0.548 0.548 0.705

=====

12.
SrHgP: optimized geometry, PBE.

Cell: 4.348 5.609 7.615 Å, 89.94 89.70 67.60°
Positions (direct):
Sr 0.000 0.000 0.000
Sr 0.265 0.457 0.349
Hg 0.270 0.465 0.782
Hg 0.569 0.891 0.649
P 0.561 0.870 0.277
P 0.712 0.567 0.070

=====

Let's list mass density in order: 5.28, 6.83, 7.95, 4.30, 5.89, 6.06, 4.80, 6.54, 8.45, 6.05, 6.62, 6.17 g cm⁻³.
Let's list energy of formation from the pure elements in order: -0.4717, -0.3206, -0.2760, -0.5179, -0.3693, -0.5952, -0.6240, -0.6240, -0.3235, -0.5190, -0.6482, -0.6145 eV/atom.